This record from OQMD via LeMat-Bulk describes a relaxed structure of SrSmAgTeS2. The functional is PBE.

Computed properties:
- raw total energy (eV/atom) = -4.87
- space-group type = Cmcm

a = 7.586 Å, b = 7.586 Å, c = 11.182 Å
α = 90.00°, β = 90.00°, γ = 148.40°
Positions (direct):
Ag: 0.490 0.510 0.250
Ag: 0.510 0.490 0.750
S: 0.379 0.621 0.075
S: 0.379 0.621 0.425
S: 0.621 0.379 0.575
S: 0.621 0.379 0.925
Sm: 0.000 0.000 0.000
Sm: 0.000 0.000 0.500
Sr: 0.794 0.206 0.250
Sr: 0.206 0.794 0.750
Te: 0.115 0.885 0.250
Te: 0.885 0.115 0.750

This record from OQMD via LeMat-Bulk describes a relaxed structure of DyScB. The functional is PBE.

Computed properties:
- raw total energy (eV/atom) = -5.88
- space-group type = F-43m
- polymorph energy (0 for the lowest one) (eV/atom) = 0.000

a = 4.369 Å, b = 4.369 Å, c = 4.369 Å
α = 60.00°, β = 60.00°, γ = 60.00°
Positions (direct):
B: 0.000 0.000 0.000
Dy: 0.250 0.250 0.250
Sc: 0.750 0.750 0.750

This record from OQMD via LeMat-Bulk describes a relaxed structure of NdHgB. The functional is PBE.

Computed properties:
- raw total energy (eV/atom) = -3.14
- space-group type = F-43m
- polymorph energy (0 for the lowest one) (eV/atom) = 0.755

a = 4.764 Å, b = 4.764 Å, c = 4.764 Å
α = 60.00°, β = 60.00°, γ = 60.00°
Positions (direct):
B: 0.250 0.250 0.250
Hg: 0.750 0.750 0.750
Nd: 0.000 0.000 0.000

This record from OQMD via LeMat-Bulk describes a relaxed structure of TmTlCo. The functional is PBE.

Computed properties:
- raw total energy (eV/atom) = -4.03
- space-group type = F-43m

a = 4.716 Å, b = 4.716 Å, c = 4.716 Å
α = 60.00°, β = 60.00°, γ = 60.00°
Positions (direct):
Co: 0.250 0.250 0.250
Tl: 0.750 0.750 0.750
Tm: 0.000 0.000 0.000

This record from OQMD via LeMat-Bulk describes a relaxed structure of Lu6Al43Mo4. The functional is PBE.

Computed properties:
- raw total energy (eV/atom) = -4.66
- space-group type = P6_3/mcm

a = 10.960 Å, b = 10.960 Å, c = 17.603 Å
α = 90.00°, β = 90.00°, γ = 120.00°
Positions (direct):
Al: 0.494 0.247 0.000
Al: 0.753 0.247 0.000
Al: 0.247 0.494 0.000
Al: 0.753 0.506 0.000
Al: 0.247 0.753 0.000
Al: 0.506 0.753 0.000
Al: 0.745 0.000 0.030
Al: 0.255 0.255 0.030
Al: 0.000 0.745 0.030
Al: 0.160 0.000 0.115
Al: 0.000 0.160 0.115
Al: 0.840 0.840 0.115
Al: 0.667 0.333 0.125
Al: 0.333 0.667 0.125
Al: 0.763 0.157 0.163
Al: 0.394 0.237 0.163
Al: 0.237 0.394 0.163
Al: 0.843 0.606 0.163
Al: 0.157 0.763 0.163
Al: 0.606 0.843 0.163
Al: 0.853 0.000 0.250
Al: 0.147 0.147 0.250
Al: 0.552 0.148 0.250
Al: 0.852 0.404 0.250
Al: 0.596 0.448 0.250
Al: 0.148 0.552 0.250
Al: 0.448 0.596 0.250
Al: 0.404 0.852 0.250
Al: 0.000 0.853 0.250
Al: 0.763 0.157 0.337
Al: 0.394 0.237 0.337
Al: 0.237 0.394 0.337
Al: 0.843 0.606 0.337
Al: 0.157 0.763 0.337
Al: 0.606 0.843 0.337
Al: 0.667 0.333 0.375
Al: 0.333 0.667 0.375
Al: 0.160 0.000 0.385
Al: 0.000 0.160 0.385
Al: 0.840 0.840 0.385
Al: 0.745 0.000 0.470
Al: 0.255 0.255 0.470
Al: 0.000 0.745 0.470
Al: 0.494 0.247 0.500
Al: 0.753 0.247 0.500
Al: 0.247 0.494 0.500
Al: 0.753 0.506 0.500
Al: 0.247 0.753 0.500
Al: 0.506 0.753 0.500
Al: 0.255 0.000 0.530
Al: 0.000 0.255 0.530
Al: 0.745 0.745 0.530
Al: 0.840 0.000 0.615
Al: 0.160 0.160 0.615
Al: 0.000 0.840 0.615
Al: 0.667 0.333 0.625
Al: 0.333 0.667 0.625
Al: 0.394 0.157 0.663
Al: 0.843 0.237 0.663
Al: 0.157 0.394 0.663
Al: 0.763 0.606 0.663
Al: 0.606 0.763 0.663
Al: 0.237 0.843 0.663
Al: 0.147 0.000 0.750
Al: 0.000 0.147 0.750
Al: 0.596 0.148 0.750
Al: 0.552 0.404 0.750
Al: 0.852 0.448 0.750
Al: 0.404 0.552 0.750
Al: 0.148 0.596 0.750
Al: 0.448 0.852 0.750
Al: 0.853 0.853 0.750
Al: 0.394 0.157 0.837
Al: 0.843 0.237 0.837
Al: 0.157 0.394 0.837
Al: 0.763 0.606 0.837
Al: 0.606 0.763 0.837
Al: 0.237 0.843 0.837
Al: 0.667 0.333 0.875
Al: 0.333 0.667 0.875
Al: 0.840 0.000 0.885
Al: 0.160 0.160 0.885
Al: 0.000 0.840 0.885
Al: 0.255 0.000 0.970
Al: 0.000 0.255 0.970
Al: 0.745 0.745 0.970
Lu: 0.468 0.000 0.095
Lu: 0.000 0.468 0.095
Lu: 0.532 0.532 0.095
Lu: 0.468 0.000 0.405
Lu: 0.000 0.468 0.405
Lu: 0.532 0.532 0.405
Lu: 0.532 0.000 0.595
Lu: 0.468 0.468 0.595
Lu: 0.000 0.532 0.595
Lu: 0.532 0.000 0.905
Lu: 0.468 0.468 0.905
Lu: 0.000 0.532 0.905
Mo: 0.000 0.000 0.000
Mo: 0.272 0.000 0.250
Mo: 0.000 0.272 0.250
Mo: 0.728 0.728 0.250
Mo: 0.000 0.000 0.500
Mo: 0.728 0.000 0.750
Mo: 0.272 0.272 0.750
Mo: 0.000 0.728 0.750

This record from OQMD via LeMat-Bulk describes a relaxed structure of Hf2NiSn2Pt. The functional is PBE.

Computed properties:
- raw total energy (eV/atom) = -7.39
- space-group type = Pm

a = 7.664 Å, b = 4.416 Å, c = 14.651 Å
α = 90.00°, β = 99.88°, γ = 90.00°
Positions (direct):
Hf: 0.183 0.500 0.060
Hf: 0.693 0.000 0.061
Hf: 0.940 0.500 0.319
Hf: 0.439 0.000 0.319
Hf: 0.687 0.500 0.560
Hf: 0.186 0.000 0.563
Hf: 0.431 0.500 0.808
Hf: 0.942 0.000 0.812
Ni: 0.500 0.000 0.501
Ni: 0.001 0.500 0.502
Ni: 0.248 0.000 0.748
Ni: 0.000 0.000 0.998
Pt: 0.250 0.500 0.252
Pt: 0.752 0.000 0.253
Pt: 0.750 0.500 0.748
Pt: 0.499 0.500 0.998
Sn: 0.062 0.000 0.182
Sn: 0.562 0.500 0.187
Sn: 0.314 0.500 0.445
Sn: 0.816 0.000 0.445
Sn: 0.552 0.000 0.683
Sn: 0.069 0.500 0.684
Sn: 0.302 0.000 0.932
Sn: 0.822 0.500 0.939

This record from OQMD via LeMat-Bulk describes a relaxed structure of NaCuIrSe3. The functional is PBE.

Computed properties:
- raw total energy (eV/atom) = -4.42
- space-group type = Cmcm

a = 6.872 Å, b = 6.872 Å, c = 9.645 Å
α = 90.00°, β = 90.00°, γ = 148.36°
Positions (direct):
Cu: 0.543 0.457 0.250
Cu: 0.457 0.543 0.750
Ir: 0.000 0.000 0.000
Ir: 0.000 0.000 0.500
Na: 0.238 0.762 0.250
Na: 0.762 0.238 0.750
Se: 0.628 0.372 0.033
Se: 0.925 0.075 0.250
Se: 0.628 0.372 0.467
Se: 0.372 0.628 0.533
Se: 0.075 0.925 0.750
Se: 0.372 0.628 0.967

This record from OQMD via LeMat-Bulk describes a relaxed structure of ScCoBIr. The functional is PBE.

Computed properties:
- raw total energy (eV/atom) = -6.96
- space-group type = F-43m
- polymorph energy (0 for the lowest one) (eV/atom) = 0.338

a = 4.224 Å, b = 4.224 Å, c = 4.224 Å
α = 60.00°, β = 60.00°, γ = 60.00°
Positions (direct):
B: 0.000 0.000 0.000
Co: 0.750 0.750 0.750
Ir: 0.500 0.500 0.500
Sc: 0.250 0.250 0.250

This record from OQMD via LeMat-Bulk describes a relaxed structure of TmReTc. The functional is PBE.

Computed properties:
- raw total energy (eV/atom) = -7.41
- space-group type = F-43m
- formation energy from the elements (eV per atom) = 1.6723

a = 4.441 Å, b = 4.441 Å, c = 4.441 Å
α = 60.00°, β = 60.00°, γ = 60.00°
Positions (direct):
Re: 0.250 0.250 0.250
Tc: 0.750 0.750 0.750
Tm: 0.000 0.000 0.000

This record from OQMD via LeMat-Bulk describes a relaxed structure of TbBiN2O. The functional is PBE.

Computed properties:
- raw total energy (eV/atom) = -6.27
- space-group type = Pmma

a = 5.890 Å, b = 4.021 Å, c = 6.197 Å
α = 90.00°, β = 90.00°, γ = 90.00°
Positions (direct):
Bi: 0.750 0.000 0.269
Bi: 0.250 0.000 0.731
N: 0.750 0.500 0.165
N: 0.000 0.000 0.500
N: 0.500 0.000 0.500
N: 0.250 0.500 0.835
O: 0.000 0.000 0.000
O: 0.500 0.000 0.000
Tb: 0.250 0.500 0.195
Tb: 0.750 0.500 0.805

This record from OQMD via LeMat-Bulk describes a relaxed structure of Cu2Ag. The functional is PBE.

Computed properties:
- raw total energy (eV/atom) = -3.36
- space-group type = I4/mmm
- formation energy from the elements (eV per atom) = 0.0637
- polymorph energy (0 for the lowest one) (eV/atom) = 0.018

a = 16.526 Å, b = 16.526 Å, c = 16.526 Å
α = 170.44°, β = 170.44°, γ = 13.54°
Positions (direct):
Ag: 0.000 0.000 0.000
Ag: 0.216 0.216 0.000
Ag: 0.784 0.784 0.000
Cu: 0.109 0.109 0.000
Cu: 0.343 0.343 0.000
Cu: 0.440 0.440 0.000
Cu: 0.560 0.560 0.000
Cu: 0.657 0.657 0.000
Cu: 0.891 0.891 0.000

This record from OQMD via LeMat-Bulk describes a relaxed structure of Dy4Br2NCl3. The functional is PBE.

Computed properties:
- raw total energy (eV/atom) = -5.31
- space-group type = C2/m

a = 8.851 Å, b = 8.851 Å, c = 7.741 Å
α = 102.73°, β = 102.73°, γ = 23.94°
Positions (direct):
Br: 0.829 0.829 0.187
Br: 0.171 0.171 0.813
Cl: 0.159 0.159 0.340
Cl: 0.500 0.500 0.500
Cl: 0.841 0.841 0.660
Dy: 0.638 0.638 0.075
Dy: 0.999 0.999 0.207
Dy: 0.001 0.001 0.793
Dy: 0.362 0.362 0.925
N: 0.500 0.500 0.000